Density functional theory data (PBE) for a relaxed Dy12Ho5In2 crystal.

Computed properties:
Total DFT energy (no corrections), eV per atom: -4.40
ΔE_f, meV per atom: -4
N(E_F), states/eV/atom: 1.50

a b c (Å): 9.2329 8.9418 8.3192
angles (deg): 91.59 90.00 121.08
Sites, in units of the cell vectors:
Ho (0.7662, 0.5323, 0.4196)
Ho (0.3098, 0.6195, 0.9923)
Ho (0.6902, 0.3805, 0.0077)
Ho (0.2338, 0.4677, 0.5804)
Ho (0.0000, 0.0000, 0.5000)
Dy (0.5706, 0.7497, 0.3384)
Dy (0.6657, 0.7020, 0.7629)
Dy (0.4461, 0.8921, 0.6749)
Dy (0.0840, 0.1680, 0.8848)
Dy (0.8209, 0.2503, 0.6616)
Dy (0.9160, 0.8320, 0.1152)
Dy (0.9637, 0.2980, 0.2371)
Dy (0.5539, 0.1079, 0.3251)
Dy (0.3343, 0.2980, 0.2371)
Dy (0.4294, 0.2503, 0.6616)
Dy (0.0363, 0.7020, 0.7629)
Dy (0.1791, 0.7497, 0.3384)
In (0.6796, 0.0000, 0.0000)
In (0.3204, 0.0000, 0.0000)